An optimized crystal structure of ZrNb2Te2Se4, computed with PBE.

```
data_ZrNb2Te2Se4
_cell_length_a 3.576
_cell_length_b 3.576
_cell_length_c 21.899
_cell_angle_alpha 90.00
_cell_angle_beta 90.00
_cell_angle_gamma 120.00
_space_group_name_H-M_alt 'P 1'
_space_group_IT_number 1
loop_
_space_group_symop_operation_xyz
'x,y,z'
loop_
_atom_site_label
_atom_site_fract_x
_atom_site_fract_y
_atom_site_fract_z
_atom_site_occupancy
Zr1 0.000 0.000 0.330 1
Nb1 0.000 0.000 0.971 1
Nb2 0.667 0.333 0.659 1
Te1 0.667 0.333 0.422 1
Te2 0.667 0.333 0.236 1
Se1 0.000 0.000 0.583 1
Se2 0.667 0.333 0.047 1
Se3 0.667 0.333 0.896 1
Se4 0.000 0.000 0.734 1
```

Output
**VASP energy**: -55.83 eV/cell
**Raw formation energy**: -6.918 eV/f.u.
**Calculated volume**: 243 Å³/cell

=====

An optimized crystal structure of Ho4Tm5In, computed with PBE.

```
data_Ho4Tm5In
_cell_length_a 3.507
_cell_length_b 3.507
_cell_length_c 24.108
_cell_angle_alpha 90.00
_cell_angle_beta 90.00
_cell_angle_gamma 90.00
_space_group_name_H-M_alt 'P 1'
_space_group_IT_number 1
loop_
_space_group_symop_operation_xyz
'x,y,z'
loop_
_atom_site_label
_atom_site_fract_x
_atom_site_fract_y
_atom_site_fract_z
_atom_site_occupancy
Ho1 0.000 0.000 0.190 1
Ho2 0.000 0.000 0.397 1
Ho3 0.000 0.000 0.603 1
Ho4 0.000 0.000 0.810 1
Tm1 0.500 0.500 0.088 1
Tm2 0.500 0.500 0.294 1
Tm3 0.500 0.500 0.500 1
Tm4 0.500 0.500 0.706 1
Tm5 0.500 0.500 0.912 1
In1 0.000 0.000 0.000 1
```

Output
**Calculated formation energy**: -0.78 eV/f.u.
**VASP energy**: -44.19 eV/cell
**Relative energy among the computed polymorphs**: 0.000 eV/f.u.
**Calculated volume**: 297 Å³/cell

=====

An optimized crystal structure of CaBeRh, computed with PBE.

```
data_CaBeRh
_cell_length_a 5.685
_cell_length_b 5.693
_cell_length_c 7.324
_cell_angle_alpha 112.21
_cell_angle_beta 90.00
_cell_angle_gamma 90.00
_space_group_name_H-M_alt 'P 1'
_space_group_IT_number 1
loop_
_space_group_symop_operation_xyz
'x,y,z'
loop_
_atom_site_label
_atom_site_fract_x
_atom_site_fract_y
_atom_site_fract_z
_atom_site_occupancy
Ca1 0.132 0.313 0.121 1
Ca2 0.368 0.813 0.621 1
Ca3 0.868 0.687 0.879 1
Ca4 0.632 0.187 0.379 1
Be1 0.641 0.244 0.959 1
Be2 0.359 0.756 0.041 1
Be3 0.141 0.256 0.541 1
Be4 0.859 0.744 0.459 1
Rh1 0.613 0.604 0.204 1
Rh2 0.387 0.396 0.796 1
Rh3 0.887 0.104 0.704 1
Rh4 0.113 0.896 0.296 1
```

Output
**Calculated formation energy**: -1.05 eV/f.u.
**VASP energy**: -56.52 eV/cell
**Relative energy among the computed polymorphs**: 0.346 eV/f.u.
**Calculated volume**: 219 Å³/cell

=====

An optimized crystal structure of Ac4TlGeTe2, computed with PBE.

```
data_Ac4TlGeTe2
_cell_length_a 4.660
_cell_length_b 8.212
_cell_length_c 8.355
_cell_angle_alpha 108.51
_cell_angle_beta 90.00
_cell_angle_gamma 90.00
_space_group_name_H-M_alt 'P 1'
_space_group_IT_number 1
loop_
_space_group_symop_operation_xyz
'x,y,z'
loop_
_atom_site_label
_atom_site_fract_x
_atom_site_fract_y
_atom_site_fract_z
_atom_site_occupancy
Ac1 0.500 0.233 0.230 1
Ac2 0.500 0.767 0.770 1
Ac3 0.000 0.244 0.760 1
Ac4 0.000 0.756 0.240 1
Tl1 0.500 0.500 0.000 1
Ge1 0.000 0.000 0.000 1
Te1 0.500 0.000 0.500 1
Te2 0.000 0.500 0.500 1
```

Output
**VASP energy**: -37.83 eV/cell
**Raw formation energy**: -8.129 eV/f.u.
**Calculated volume**: 303 Å³/cell

=====

An optimized crystal structure of Cd2MoW, computed with PBE.

```
data_Cd2MoW
_cell_length_a 2.759
_cell_length_b 2.759
_cell_length_c 9.558
_cell_angle_alpha 90.00
_cell_angle_beta 90.00
_cell_angle_gamma 101.69
_space_group_name_H-M_alt 'P 1'
_space_group_IT_number 1
loop_
_space_group_symop_operation_xyz
'x,y,z'
loop_
_atom_site_label
_atom_site_fract_x
_atom_site_fract_y
_atom_site_fract_z
_atom_site_occupancy
Cd1 0.000 0.000 0.001 1
Cd2 0.000 0.000 0.499 1
Mo1 0.500 0.500 0.250 1
W1 0.500 0.500 0.750 1
```

Output
**Calculated formation energy**: 2.25 eV/f.u.
**VASP energy**: -23.36 eV/cell
**Relative energy among the computed polymorphs**: 1.087 eV/f.u.
**Calculated volume**: 71 Å³/cell

=====

An optimized crystal structure of LaMn2Fe, computed with PBE.

```
data_LaMn2Fe
_cell_length_a 6.198
_cell_length_b 6.198
_cell_length_c 6.198
_cell_angle_alpha 146.58
_cell_angle_beta 143.95
_cell_angle_gamma 49.97
_space_group_name_H-M_alt 'P 1'
_space_group_IT_number 1
loop_
_space_group_symop_operation_xyz
'x,y,z'
loop_
_atom_site_label
_atom_site_fract_x
_atom_site_fract_y
_atom_site_fract_z
_atom_site_occupancy
Fe1 0.522 0.522 0.000 1
La1 0.297 0.797 0.500 1
Mn1 0.029 0.029 0.000 1
Mn2 0.652 0.152 0.500 1
```

Output
**Calculated formation energy**: 1.97 eV/f.u.
**VASP energy**: -29.76 eV/cell
**Relative energy among the computed polymorphs**: 1.156 eV/f.u.
**Calculated volume**: 77 Å³/cell

=====

An optimized crystal structure of Ac4CuPt, computed with PBE.

```
data_Ac4CuPt
_cell_length_a 8.536
_cell_length_b 8.536
_cell_length_c 8.536
_cell_angle_alpha 106.34
_cell_angle_beta 106.34
_cell_angle_gamma 115.93
_space_group_name_H-M_alt 'P 1'
_space_group_IT_number 1
loop_
_space_group_symop_operation_xyz
'x,y,z'
loop_
_atom_site_label
_atom_site_fract_x
_atom_site_fract_y
_atom_site_fract_z
_atom_site_occupancy
Ac1 0.253 0.952 0.699 1
Ac2 0.746 0.447 0.700 1
Ac3 0.702 0.503 0.199 1
Ac4 0.197 0.996 0.200 1
Ac5 0.304 0.503 0.801 1
Ac6 0.796 0.996 0.800 1
Ac7 0.746 0.046 0.300 1
Ac8 0.253 0.554 0.301 1
Cu1 0.252 0.252 0.000 1
Cu2 0.002 0.502 0.500 1
Pt1 0.750 0.750 0.000 1
Pt2 0.500 0.000 0.500 1
```

Output
**Calculated formation energy**: -2.04 eV/f.u.
**VASP energy**: -57.23 eV/cell
**Calculated volume**: 474 Å³/cell

=====

An optimized crystal structure of Ba2PaTeO6, computed with PBE.

```
data_Ba2PaTeO6
_cell_length_a 4.487
_cell_length_b 4.487
_cell_length_c 8.772
_cell_angle_alpha 90.00
_cell_angle_beta 90.00
_cell_angle_gamma 90.00
_space_group_name_H-M_alt 'P 1'
_space_group_IT_number 1
loop_
_space_group_symop_operation_xyz
'x,y,z'
loop_
_atom_site_label
_atom_site_fract_x
_atom_site_fract_y
_atom_site_fract_z
_atom_site_occupancy
Ba1 0.000 0.000 0.724 1
Ba2 0.000 0.000 0.276 1
Pa1 0.500 0.500 0.000 1
Te1 0.500 0.500 0.500 1
O1 0.500 0.000 0.000 1
O2 0.500 0.000 0.500 1
O3 0.000 0.500 0.000 1
O4 0.000 0.500 0.500 1
O5 0.500 0.500 0.752 1
O6 0.500 0.500 0.248 1
```

Output
**VASP energy**: -71.28 eV/cell
**Raw formation energy**: -25.048 eV/f.u.
**Calculated volume**: 177 Å³/cell

=====

An optimized crystal structure of Y2ZrRe, computed with PBE.

```
data_Y2ZrRe
_cell_length_a 3.157
_cell_length_b 3.157
_cell_length_c 10.284
_cell_angle_alpha 90.00
_cell_angle_beta 90.00
_cell_angle_gamma 112.70
_space_group_name_H-M_alt 'P 1'
_space_group_IT_number 1
loop_
_space_group_symop_operation_xyz
'x,y,z'
loop_
_atom_site_label
_atom_site_fract_x
_atom_site_fract_y
_atom_site_fract_z
_atom_site_occupancy
Re1 0.500 0.500 0.750 1
Y1 0.000 0.000 0.964 1
Y2 0.000 0.000 0.536 1
Zr1 0.500 0.500 0.250 1
```

Output
**Calculated formation energy**: 1.54 eV/f.u.
**VASP energy**: -32.39 eV/cell
**Relative energy among the computed polymorphs**: 1.414 eV/f.u.
**Calculated volume**: 95 Å³/cell

=====

An optimized crystal structure of RbIn2Hg, computed with PBE.

```
data_RbIn2Hg
_cell_length_a 4.685
_cell_length_b 4.685
_cell_length_c 12.166
_cell_angle_alpha 90.00
_cell_angle_beta 90.00
_cell_angle_gamma 90.00
_space_group_name_H-M_alt 'P 1'
_space_group_IT_number 1
loop_
_space_group_symop_operation_xyz
'x,y,z'
loop_
_atom_site_label
_atom_site_fract_x
_atom_site_fract_y
_atom_site_fract_z
_atom_site_occupancy
Rb1 0.500 0.000 0.232 1
Rb2 0.000 0.500 0.768 1
In1 0.500 0.000 0.938 1
In2 0.000 0.500 0.062 1
In3 0.000 0.000 0.500 1
In4 0.500 0.500 0.500 1
Hg1 0.500 0.000 0.670 1
Hg2 0.000 0.500 0.330 1
```

Output
**Calculated formation energy**: -0.19 eV/f.u.
**VASP energy**: -13.88 eV/cell
**Calculated volume**: 267 Å³/cell

=====

An optimized crystal structure of SrSiMo2, computed with PBE.

```
data_SrSiMo2
_cell_length_a 5.554
_cell_length_b 5.554
_cell_length_c 2.715
_cell_angle_alpha 90.00
_cell_angle_beta 90.00
_cell_angle_gamma 117.27
_space_group_name_H-M_alt 'P 1'
_space_group_IT_number 1
loop_
_space_group_symop_operation_xyz
'x,y,z'
loop_
_atom_site_label
_atom_site_fract_x
_atom_site_fract_y
_atom_site_fract_z
_atom_site_occupancy
Mo1 0.000 0.000 0.000 1
Mo2 0.500 0.500 0.000 1
Si1 0.500 0.000 0.500 1
Sr1 0.000 0.500 0.500 1
```

Output
**VASP energy**: -24.92 eV/cell
**Raw formation energy**: 3.850 eV/f.u.
**Calculated volume**: 74 Å³/cell

=====

An optimized crystal structure of Mg2PRh, computed with PBE.

```
data_Mg2PRh
_cell_length_a 3.097
_cell_length_b 3.622
_cell_length_c 5.547
_cell_angle_alpha 90.00
_cell_angle_beta 90.00
_cell_angle_gamma 90.00
_space_group_name_H-M_alt 'P 1'
_space_group_IT_number 1
loop_
_space_group_symop_operation_xyz
'x,y,z'
loop_
_atom_site_label
_atom_site_fract_x
_atom_site_fract_y
_atom_site_fract_z
_atom_site_occupancy
Mg1 0.000 0.000 0.996 1
Mg2 0.000 0.000 0.504 1
P1 0.500 0.500 0.250 1
Rh1 0.500 0.500 0.750 1
```

Output
**Calculated formation energy**: -1.61 eV/f.u.
**VASP energy**: -17.56 eV/cell
**Calculated volume**: 62 Å³/cell